Record 1
Below is a geometry-optimized Ca3Tl2Au3 structure, with properties calculated at the PBE level.

As for the total DFT energy (no corrections): -3.107 eV per atom. The density of states at the Fermi level comes out at 0.5678 states/eV/atom. As for the space group: P6_3/mcm, No. 193. For the energy relative to the elements, the calculation gives -4.29 eV/f.u.

Cell: 8.9310 8.9310 6.2219 Å, 90.00 90.00 120.00°
Atoms (fractional coordinates):
Ca (0.0000, 0.2886, 0.2500)
Ca (0.0000, 0.7114, 0.7500)
Ca (0.2886, 0.0000, 0.2500)
Ca (0.2886, 0.2886, 0.7500)
Ca (0.7114, 0.0000, 0.7500)
Ca (0.7114, 0.7114, 0.2500)
Tl (0.3333, 0.6667, 0.0000)
Tl (0.3333, 0.6667, 0.5000)
Tl (0.6667, 0.3333, 0.0000)
Tl (0.6667, 0.3333, 0.5000)
Au (0.0000, 0.3670, 0.7500)
Au (0.0000, 0.6330, 0.2500)
Au (0.3670, 0.0000, 0.7500)
Au (0.3670, 0.3670, 0.2500)
Au (0.6330, 0.0000, 0.2500)
Au (0.6330, 0.6330, 0.7500)

Record 2
Below is a geometry-optimized Ca4TlAu structure, with properties calculated at the PBE level.

The calculation puts the distance to the lowest polymorph of the same formula at 81.7 meV/atom. As for the total DFT energy (no corrections): -2.632 eV per atom. The density of states at the Fermi level comes out at 1.1990 states/eV/atom. As for the space group: C2/m, No. 12. For the energy relative to the elements, the calculation gives -2.14 eV/f.u.

Cell: 5.3058 5.3058 7.3130 Å, 90.08 90.08 90.00°
Atoms (fractional coordinates):
Ca (0.9999, 0.4994, 0.2462)
Ca (0.0001, 0.5006, 0.7538)
Ca (0.4994, 0.9999, 0.2462)
Ca (0.5006, 0.0001, 0.7538)
Tl (0.0000, 0.0000, 0.5000)
Au (0.5000, 0.5000, 0.0000)

Record 3
Below is a geometry-optimized Ca2TlAu9 structure, with properties calculated at the PBE level.

As for the total DFT energy (no corrections): -3.346 eV per atom. The density of states at the Fermi level comes out at 0.4227 states/eV/atom. As for the space group: P6_3/mmc, No. 194. For the energy relative to the elements, the calculation gives -4.29 eV/f.u.

Cell: 5.6851 5.6851 18.5424 Å, 90.00 90.00 120.00°
Atoms (fractional coordinates):
Ca (0.3333, 0.6667, 0.0416)
Ca (0.3333, 0.6667, 0.4584)
Ca (0.6667, 0.3333, 0.5416)
Ca (0.6667, 0.3333, 0.9584)
Tl (0.3333, 0.6667, 0.2500)
Tl (0.6667, 0.3333, 0.7500)
Au (0.0000, 0.0000, 0.0000)
Au (0.0000, 0.0000, 0.2500)
Au (0.0000, 0.0000, 0.5000)
Au (0.0000, 0.0000, 0.7500)
Au (0.1694, 0.3389, 0.6210)
Au (0.1694, 0.3389, 0.8790)
Au (0.1694, 0.8306, 0.6210)
Au (0.1694, 0.8306, 0.8790)
Au (0.3333, 0.6667, 0.7500)
Au (0.3389, 0.1694, 0.1210)
Au (0.3389, 0.1694, 0.3790)
Au (0.6611, 0.8306, 0.6210)
Au (0.6611, 0.8306, 0.8790)
Au (0.6667, 0.3333, 0.2500)
Au (0.8306, 0.1694, 0.1210)
Au (0.8306, 0.1694, 0.3790)
Au (0.8306, 0.6611, 0.1210)
Au (0.8306, 0.6611, 0.3790)

Record 4
Below is a geometry-optimized CaTl2Au2 structure, with properties calculated at the PBE level.

The calculation puts the distance to the lowest polymorph of the same formula at 93.4 meV/atom. As for the total DFT energy (no corrections): -2.858 eV per atom. The density of states at the Fermi level comes out at 0.3337 states/eV/atom. As for the space group: I4/mmm, No. 139. For the energy relative to the elements, the calculation gives -1.00 eV/f.u.

Cell: 6.0614 6.0614 6.0614 Å, 126.82 126.82 78.54°
Atoms (fractional coordinates):
Ca (0.0000, 0.0000, 0.0000)
Tl (0.3467, 0.3467, 0.0000)
Tl (0.6533, 0.6533, 0.0000)
Au (0.2500, 0.7500, 0.5000)
Au (0.7500, 0.2500, 0.5000)

Record 5
Below is a geometry-optimized CaTl2Au2 structure, with properties calculated at the PBE level.

The calculation puts the distance to the lowest polymorph of the same formula at 106.3 meV/atom. As for the total DFT energy (no corrections): -2.845 eV per atom. The density of states at the Fermi level comes out at 0.3026 states/eV/atom. As for the space group: P4/mbm, No. 127. For the energy relative to the elements, the calculation gives -0.94 eV/f.u.

Cell: 8.2868 8.2868 3.7016 Å, 90.00 90.00 90.00°
Atoms (fractional coordinates):
Ca (0.0000, 0.0000, 0.0000)
Ca (0.5000, 0.5000, 0.0000)
Tl (0.1322, 0.3678, 0.0000)
Tl (0.3678, 0.8678, 0.0000)
Tl (0.6322, 0.1322, 0.0000)
Tl (0.8678, 0.6322, 0.0000)
Au (0.1713, 0.6713, 0.5000)
Au (0.3287, 0.1713, 0.5000)
Au (0.6713, 0.8287, 0.5000)
Au (0.8287, 0.3287, 0.5000)

Record 6
Below is a geometry-optimized Ca2Tl2Au15 structure, with properties calculated at the PBE level.

As for the total DFT energy (no corrections): -3.288 eV per atom. The density of states at the Fermi level comes out at 0.4062 states/eV/atom. As for the space group: R-3m, No. 166. For the energy relative to the elements, the calculation gives -4.58 eV/f.u.

Cell: 7.4151 7.4151 7.4151 Å, 83.49 83.49 83.49°
Atoms (fractional coordinates):
Ca (0.1418, 0.1418, 0.1418)
Ca (0.8582, 0.8582, 0.8582)
Tl (0.3955, 0.3955, 0.3955)
Tl (0.6045, 0.6045, 0.6045)
Au (0.0000, 0.5000, 0.5000)
Au (0.1575, 0.1575, 0.6756)
Au (0.1575, 0.6756, 0.1575)
Au (0.1677, 0.5000, 0.8323)
Au (0.1677, 0.8323, 0.5000)
Au (0.3244, 0.8425, 0.8425)
Au (0.5000, 0.0000, 0.5000)
Au (0.5000, 0.1677, 0.8323)
Au (0.5000, 0.5000, 0.0000)
Au (0.5000, 0.8323, 0.1677)
Au (0.6756, 0.1575, 0.1575)
Au (0.8323, 0.1677, 0.5000)
Au (0.8323, 0.5000, 0.1677)
Au (0.8425, 0.3244, 0.8425)
Au (0.8425, 0.8425, 0.3244)

Record 7
Below is a geometry-optimized Ca2TlAu structure, with properties calculated at the PBE level.

The calculation puts the distance to the lowest polymorph of the same formula at 29.6 meV/atom. As for the total DFT energy (no corrections): -2.976 eV per atom. The density of states at the Fermi level comes out at 0.6620 states/eV/atom. As for the space group: P4/mmm, No. 123. For the energy relative to the elements, the calculation gives -2.26 eV/f.u.

Cell: 5.2950 5.2950 3.7835 Å, 90.00 90.00 90.00°
Atoms (fractional coordinates):
Ca (0.0000, 0.5000, 0.0000)
Ca (0.5000, 0.0000, 0.0000)
Tl (0.0000, 0.0000, 0.5000)
Au (0.5000, 0.5000, 0.5000)

Record 8
Below is a geometry-optimized CaTlAu6 structure, with properties calculated at the PBE level.

The calculation puts the distance to the lowest polymorph of the same formula at 0.0 meV/atom. As for the total DFT energy (no corrections): -3.234 eV per atom. The density of states at the Fermi level comes out at 0.3218 states/eV/atom. As for the space group: Amm2, No. 38. For the energy relative to the elements, the calculation gives -1.84 eV/f.u.

Cell: 4.8024 5.9804 5.9804 Å, 72.42 90.00 90.00°
Atoms (fractional coordinates):
Ca (0.0000, 0.0000, 0.0000)
Tl (0.5000, 0.7429, 0.7429)
Au (0.0000, 0.0764, 0.4848)
Au (0.0000, 0.4848, 0.0764)
Au (0.0000, 0.5566, 0.5566)
Au (0.5000, 0.1938, 0.1938)
Au (0.5000, 0.2540, 0.6780)
Au (0.5000, 0.6780, 0.2540)

Record 9
Below is a geometry-optimized Ca3TlAu8 structure, with properties calculated at the PBE level.

The calculation puts the distance to the lowest polymorph of the same formula at 0.0 meV/atom. As for the total DFT energy (no corrections): -3.398 eV per atom. The density of states at the Fermi level comes out at 0.3808 states/eV/atom. As for the space group: P3m1, No. 156. For the energy relative to the elements, the calculation gives -6.19 eV/f.u.

Cell: 5.6604 5.6604 9.4458 Å, 90.00 90.00 120.00°
Atoms (fractional coordinates):
Ca (0.0000, 0.0000, 0.0000)
Ca (0.0000, 0.0000, 0.3986)
Ca (0.3333, 0.6667, 0.8461)
Tl (0.3333, 0.6667, 0.4867)
Au (0.0054, 0.5027, 0.1813)
Au (0.3289, 0.1645, 0.6928)
Au (0.4973, 0.5027, 0.1813)
Au (0.4973, 0.9946, 0.1813)
Au (0.6667, 0.3333, 0.4366)
Au (0.6667, 0.3333, 0.9371)
Au (0.8355, 0.1645, 0.6928)
Au (0.8355, 0.6711, 0.6928)

Record 10
Below is a geometry-optimized Ca3Tl2Au2 structure, with properties calculated at the PBE level.

As for the total DFT energy (no corrections): -3.048 eV per atom. The density of states at the Fermi level comes out at 0.4478 states/eV/atom. As for the space group: Cmmm, No. 65. For the energy relative to the elements, the calculation gives -4.05 eV/f.u.

Cell: 11.6934 11.6934 3.7452 Å, 90.00 90.00 158.35°
Atoms (fractional coordinates):
Ca (0.0000, 0.0000, 0.0000)
Ca (0.1692, 0.8308, 0.0000)
Ca (0.8308, 0.1692, 0.0000)
Tl (0.4203, 0.5797, 0.5000)
Tl (0.5797, 0.4203, 0.5000)
Au (0.2885, 0.7115, 0.5000)
Au (0.7115, 0.2885, 0.5000)

Record 11
Below is a geometry-optimized Ca2TlAu6 structure, with properties calculated at the PBE level.

As for the total DFT energy (no corrections): -3.323 eV per atom. The density of states at the Fermi level comes out at 0.2251 states/eV/atom. As for the space group: Immm, No. 71. For the energy relative to the elements, the calculation gives -3.87 eV/f.u.

Cell: 8.4949 8.4949 8.4949 Å, 153.11 129.12 58.47°
Atoms (fractional coordinates):
Ca (0.1321, 0.1321, 0.0000)
Ca (0.8679, 0.8679, 0.0000)
Tl (0.5000, 0.0000, 0.5000)
Au (0.1200, 0.3167, 0.8033)
Au (0.1962, 0.5000, 0.6962)
Au (0.4866, 0.6833, 0.8033)
Au (0.5134, 0.3167, 0.1967)
Au (0.8038, 0.5000, 0.3038)
Au (0.8800, 0.6833, 0.1967)

Record 12
Below is a geometry-optimized CaTlAu structure, with properties calculated at the PBE level.

As for the total DFT energy (no corrections): -3.110 eV per atom. The density of states at the Fermi level comes out at 0.3161 states/eV/atom. As for the space group: Cmcm, No. 63. For the energy relative to the elements, the calculation gives -1.69 eV/f.u.

Cell: 9.2588 9.2588 4.5100 Å, 90.00 90.00 155.82°
Atoms (fractional coordinates):
Ca (0.0945, 0.9055, 0.7500)
Ca (0.9055, 0.0945, 0.2500)
Tl (0.2893, 0.7107, 0.7500)
Tl (0.7107, 0.2893, 0.2500)
Au (0.4522, 0.5478, 0.7500)
Au (0.5478, 0.4522, 0.2500)